Sm8Ga2Ru, optimized geometry, DFT PBE; formation energy = -263 meV/atom; magnetization = 0.00 μB per atom; space-group type = No. 12; DOS(E_F) = 10.00 states/eV per cell
1.0
-2.2238 4.4165 1.3332
-2.3591 -2.9098 5.7044
9.0870 0.9859 2.0549
Sm Ga Ru
8 2 1
Direct
0.2041 0.3039 0.4081
0.6533 0.9598 0.3066
0.5903 0.4419 0.1807
0.7959 0.6961 0.5919
0.0238 0.7801 0.0475
0.3467 0.0402 0.6934
0.9762 0.2199 0.9525
0.4097 0.5581 0.8193
0.8078 0.2601 0.6156
0.1922 0.7399 0.3844
0.5000 0.0000 0.0000